Below is crystalline Sc6SiTe3As2 at its relaxed geometry, with properties calculated at the PBE-GGA level.

Geometry as CIF:
```
data_Sc6SiTe3As2
_chemical_formula_sum 'Sc12 Si2 Te6 As4'
_cell_length_a 17.6566
_cell_length_b 3.9841
_cell_length_c 8.1244
_cell_angle_alpha 90.00
_cell_angle_beta 104.76
_cell_angle_gamma 90.00
_symmetry_space_group_name_H-M 'C 1 2/m 1'
_symmetry_Int_Tables_number 12
loop_
_symmetry_equiv_pos_as_xyz
'x,y,z'
'-x,-y,-z'
'-x,y,-z'
'x,-y,z'
'x+1/2,y+1/2,z'
'-x+1/2,-y+1/2,-z'
'-x+1/2,y+1/2,-z'
'x+1/2,-y+1/2,z'
loop_
_atom_site_label
_atom_site_type_symbol
_atom_site_fract_x
_atom_site_fract_y
_atom_site_fract_z
Sc1 Sc 0.0059 0.0000 0.2270
Sc2 Sc 0.1562 0.5000 0.0986
Sc3 Sc 0.1741 0.5000 0.5640
Si1 Si 0.0000 0.5000 0.0000
Te1 Te 0.0000 0.5000 0.5000
Te2 Te 0.1682 0.0000 0.8327
As1 As 0.1667 0.0000 0.3333
```

Formation energy from raw total energies ... -14.44 eV per formula unit

=====

Below is crystalline Sc8Si3Te4As at its relaxed geometry, with properties calculated at the PBE-GGA level.

Geometry as CIF:
```
data_Sc8Si3Te4As
_chemical_formula_sum 'Sc24 Si9 Te12 As3'
_cell_length_a 7.9767
_cell_length_b 7.9767
_cell_length_c 20.0640
_cell_angle_alpha 90.00
_cell_angle_beta 90.00
_cell_angle_gamma 120.00
_symmetry_space_group_name_H-M 'R -3 m'
_symmetry_Int_Tables_number 166
_symmetry_space_group_name_Hall '-R 3 2"'
loop_
_atom_site_label
_atom_site_type_symbol
_atom_site_fract_x
_atom_site_fract_y
_atom_site_fract_z
Sc1 Sc 0.0000 0.0000 0.2391
Sc2 Sc 0.0039 0.5019 0.7616
Si1 Si 0.0000 0.5000 0.5000
Te1 Te 0.0000 0.0000 0.0000
Te2 Te 0.0000 0.5000 0.0000
As1 As 0.0000 0.0000 0.5000
```

Formation energy from raw total energies ... -16.83 eV per formula unit

=====

Below is crystalline Sc8SiTe4As3 at its relaxed geometry, with properties calculated at the PBE-GGA level.

Geometry as CIF:
```
data_Sc8SiTe4As3
_chemical_formula_sum 'Sc24 Si3 Te12 As9'
_cell_length_a 7.9756
_cell_length_b 7.9756
_cell_length_c 20.0596
_cell_angle_alpha 90.00
_cell_angle_beta 90.00
_cell_angle_gamma 120.00
_symmetry_space_group_name_H-M 'R -3 m'
_symmetry_Int_Tables_number 166
_symmetry_space_group_name_Hall '-R 3 2"'
loop_
_atom_site_label
_atom_site_type_symbol
_atom_site_fract_x
_atom_site_fract_y
_atom_site_fract_z
Sc1 Sc 0.0000 0.0000 0.2383
Sc2 Sc 0.0049 0.5024 0.2383
Si1 Si 0.0000 0.0000 0.5000
Te1 Te 0.0000 0.0000 0.0000
Te2 Te 0.0000 0.5000 0.0000
As1 As 0.0000 0.5000 0.5000
```

Formation energy from raw total energies ... -19.75 eV per formula unit

=====

Below is crystalline ScSi2AsW at its relaxed geometry, with properties calculated at the PBE-GGA level.

Geometry as CIF:
```
data_ScSi2AsW
_chemical_formula_sum 'Sc1 Si2 As1 W1'
_cell_length_a 4.7448
_cell_length_b 4.7448
_cell_length_c 4.8650
_cell_angle_alpha 90.00
_cell_angle_beta 90.00
_cell_angle_gamma 90.00
_symmetry_space_group_name_H-M 'P 4/m m m'
_symmetry_Int_Tables_number 123
_symmetry_space_group_name_Hall '-P 4 2'
loop_
_atom_site_label
_atom_site_type_symbol
_atom_site_fract_x
_atom_site_fract_y
_atom_site_fract_z
Sc1 Sc 0.0000 0.0000 0.0000
Si1 Si 0.0000 0.5000 0.5000
As1 As 0.5000 0.5000 0.0000
W1 W 0.5000 0.5000 0.5000
```

Formation energy from raw total energies ... 2.20 eV per formula unit

=====

Below is crystalline Sm2ScAs3 at its relaxed geometry, with properties calculated at the PBE-GGA level.

Geometry as CIF:
```
data_Sm2ScAs3
_chemical_formula_sum 'Sm4 Sc2 As6'
_cell_length_a 4.1295
_cell_length_b 4.1295
_cell_length_c 17.3888
_cell_angle_alpha 90.00
_cell_angle_beta 90.00
_cell_angle_gamma 90.00
_symmetry_space_group_name_H-M 'I 4/m m m'
_symmetry_Int_Tables_number 139
_symmetry_space_group_name_Hall '-I 4 2'
loop_
_atom_site_label
_atom_site_type_symbol
_atom_site_fract_x
_atom_site_fract_y
_atom_site_fract_z
Sm1 Sm 0.0000 0.0000 0.1659
Sc1 Sc 0.0000 0.0000 0.5000
As1 As 0.0000 0.0000 0.0000
As2 As 0.0000 0.0000 0.3392
```

ΔE_f ... -1.424 eV per atom

=====

Below is crystalline SmScAs at its relaxed geometry, with properties calculated at the PBE-GGA level.

Geometry as CIF:
```
data_SmScAs
_chemical_formula_sum 'Sm1 Sc1 As1'
_cell_length_a 4.5678
_cell_length_b 4.5678
_cell_length_c 4.1095
_cell_angle_alpha 90.00
_cell_angle_beta 90.00
_cell_angle_gamma 120.00
_symmetry_space_group_name_H-M 'P 3 m 1'
_symmetry_Int_Tables_number 156
loop_
_symmetry_equiv_pos_as_xyz
'x,y,z'
'-y,x-y,z'
'-x+y,-x,z'
'-y,-x,z'
'-x+y,y,z'
'x,x-y,z'
loop_
_atom_site_label
_atom_site_type_symbol
_atom_site_fract_x
_atom_site_fract_y
_atom_site_fract_z
Sm1 Sm 0.0000 0.0000 0.0000
Sc1 Sc 0.3333 0.6667 0.4984
As1 As 0.6667 0.3333 0.5935
```

ΔE_f ... -0.666 eV per atom

=====

Below is crystalline SmScAs at its relaxed geometry, with properties calculated at the PBE-GGA level.

Geometry as CIF:
```
data_SmScAs
_chemical_formula_sum 'Sm2 Sc2 As2'
_cell_length_a 4.1890
_cell_length_b 4.1890
_cell_length_c 7.9923
_cell_angle_alpha 90.00
_cell_angle_beta 90.00
_cell_angle_gamma 90.00
_symmetry_space_group_name_H-M 'P 4/n m m'
_symmetry_Int_Tables_number 129
loop_
_symmetry_equiv_pos_as_xyz
'x,y,z'
'-x,-y,-z'
'-y+1/2,x,z'
'y+1/2,-x,-z'
'-x+1/2,-y+1/2,z'
'x+1/2,y+1/2,-z'
'y,-x+1/2,z'
'-y,x+1/2,-z'
'x+1/2,-y,-z'
'-x+1/2,y,z'
'-y,-x,-z'
'y,x,z'
'-x,y+1/2,-z'
'x,-y+1/2,z'
'y+1/2,x+1/2,-z'
'-y+1/2,-x+1/2,z'
loop_
_atom_site_label
_atom_site_type_symbol
_atom_site_fract_x
_atom_site_fract_y
_atom_site_fract_z
Sm1 Sm 0.2500 0.2500 0.1480
Sc1 Sc 0.2500 0.7500 0.5000
As1 As 0.2500 0.2500 0.7561
```

ΔE_f ... -1.029 eV per atom

=====

Below is crystalline SmSc4As5 at its relaxed geometry, with properties calculated at the PBE-GGA level.

Geometry as CIF:
```
data_SmSc4As5
_chemical_formula_sum 'Sm2 Sc8 As10'
_cell_length_a 3.9463
_cell_length_b 5.6188
_cell_length_c 19.7158
_cell_angle_alpha 90.00
_cell_angle_beta 90.00
_cell_angle_gamma 90.00
_symmetry_space_group_name_H-M 'I m m m'
_symmetry_Int_Tables_number 71
_symmetry_space_group_name_Hall '-I 2 2'
loop_
_atom_site_label
_atom_site_type_symbol
_atom_site_fract_x
_atom_site_fract_y
_atom_site_fract_z
Sm1 Sm 0.0000 0.0000 0.0000
Sc1 Sc 0.0000 0.0000 0.2037
Sc2 Sc 0.0000 0.0000 0.3987
As1 As 0.0000 0.5000 0.0000
As2 As 0.0000 0.5000 0.1990
As3 As 0.0000 0.5000 0.3919
```

ΔE_f ... -1.375 eV per atom

=====

Below is crystalline SmSc5As6 at its relaxed geometry, with properties calculated at the PBE-GGA level.

Geometry as CIF:
```
data_SmSc5As6
_chemical_formula_sum 'Sm2 Sc10 As12'
_cell_length_a 6.8280
_cell_length_b 11.8262
_cell_length_c 6.8278
_cell_angle_alpha 90.00
_cell_angle_beta 109.56
_cell_angle_gamma 90.00
_symmetry_space_group_name_H-M 'C 1 2/m 1'
_symmetry_Int_Tables_number 12
loop_
_symmetry_equiv_pos_as_xyz
'x,y,z'
'-x,-y,-z'
'-x,y,-z'
'x,-y,z'
'x+1/2,y+1/2,z'
'-x+1/2,-y+1/2,-z'
'-x+1/2,y+1/2,-z'
'x+1/2,-y+1/2,z'
loop_
_atom_site_label
_atom_site_type_symbol
_atom_site_fract_x
_atom_site_fract_y
_atom_site_fract_z
Sm1 Sm 0.0000 0.0000 0.0000
Sc1 Sc 0.0000 0.1631 0.5000
Sc2 Sc 0.0000 0.3323 0.0000
Sc3 Sc 0.0000 0.5000 0.5000
As1 As 0.2398 0.5000 0.2555
As2 As 0.2412 0.3274 0.7419
```

ΔE_f ... -1.379 eV per atom

=====

Below is crystalline SmSc3As4 at its relaxed geometry, with properties calculated at the PBE-GGA level.

Geometry as CIF:
```
data_SmSc3As4
_chemical_formula_sum 'Sm2 Sc6 As8'
_cell_length_a 7.9326
_cell_length_b 11.2272
_cell_length_c 3.9770
_cell_angle_alpha 90.00
_cell_angle_beta 90.00
_cell_angle_gamma 90.00
_symmetry_space_group_name_H-M 'C m m m'
_symmetry_Int_Tables_number 65
_symmetry_space_group_name_Hall '-C 2 2'
loop_
_atom_site_label
_atom_site_type_symbol
_atom_site_fract_x
_atom_site_fract_y
_atom_site_fract_z
Sm1 Sm 0.0000 0.0000 0.0000
Sc1 Sc 0.0000 0.5000 0.0000
Sc2 Sc 0.2500 0.2500 0.5000
As1 As 0.0000 0.2572 0.0000
As2 As 0.2355 0.5000 0.5000
```

ΔE_f ... -1.383 eV per atom

=====

Below is crystalline Tb2SmScAs4 at its relaxed geometry, with properties calculated at the PBE-GGA level.

Geometry as CIF:
```
data_Tb2SmScAs4
_chemical_formula_sum 'Tb2 Sm1 Sc1 As4'
_cell_length_a 7.0950
_cell_length_b 4.1048
_cell_length_c 7.1004
_cell_angle_alpha 90.00
_cell_angle_beta 109.48
_cell_angle_gamma 90.00
_symmetry_space_group_name_H-M 'P 1 2/m 1'
_symmetry_Int_Tables_number 10
loop_
_symmetry_equiv_pos_as_xyz
'x,y,z'
'-x,-y,-z'
'-x,y,-z'
'x,-y,z'
loop_
_atom_site_label
_atom_site_type_symbol
_atom_site_fract_x
_atom_site_fract_y
_atom_site_fract_z
Tb1 Tb 0.0000 0.0000 0.0000
Tb2 Tb 0.5000 0.5000 0.0000
Sm1 Sm 0.0000 0.5000 0.5000
Sc1 Sc 0.5000 0.0000 0.5000
As1 As 0.2583 0.0000 0.7481
As2 As 0.2618 0.5000 0.2587
```

ΔE_f ... -1.469 eV per atom

=====

Below is crystalline Tb2SmSc3As6 at its relaxed geometry, with properties calculated at the PBE-GGA level.

Geometry as CIF:
```
data_Tb2SmSc3As6
_chemical_formula_sum 'Tb4 Sm2 Sc6 As12'
_cell_length_a 6.9825
_cell_length_b 12.0943
_cell_length_c 6.9504
_cell_angle_alpha 90.00
_cell_angle_beta 109.54
_cell_angle_gamma 90.00
_symmetry_space_group_name_H-M 'C 1 2/m 1'
_symmetry_Int_Tables_number 12
loop_
_symmetry_equiv_pos_as_xyz
'x,y,z'
'-x,-y,-z'
'-x,y,-z'
'x,-y,z'
'x+1/2,y+1/2,z'
'-x+1/2,-y+1/2,-z'
'-x+1/2,y+1/2,-z'
'x+1/2,-y+1/2,z'
loop_
_atom_site_label
_atom_site_type_symbol
_atom_site_fract_x
_atom_site_fract_y
_atom_site_fract_z
Tb1 Tb 0.0000 0.1668 0.0000
Sm1 Sm 0.0000 0.5000 0.0000
Sc1 Sc 0.0000 0.0000 0.5000
Sc2 Sc 0.0000 0.3341 0.5000
As1 As 0.2426 0.1680 0.7320
As2 As 0.2469 0.5000 0.7324
```

ΔE_f ... -1.439 eV per atom

=====

Below is crystalline Sm2ThScAs4 at its relaxed geometry, with properties calculated at the PBE-GGA level.

Geometry as CIF:
```
data_Sm2ThScAs4
_chemical_formula_sum 'Sm2 Th1 Sc1 As4'
_cell_length_a 7.1629
_cell_length_b 4.1662
_cell_length_c 7.2140
_cell_angle_alpha 90.00
_cell_angle_beta 109.46
_cell_angle_gamma 90.00
_symmetry_space_group_name_H-M 'P 1 2/m 1'
_symmetry_Int_Tables_number 10
loop_
_symmetry_equiv_pos_as_xyz
'x,y,z'
'-x,-y,-z'
'-x,y,-z'
'x,-y,z'
loop_
_atom_site_label
_atom_site_type_symbol
_atom_site_fract_x
_atom_site_fract_y
_atom_site_fract_z
Sm1 Sm 0.0000 0.0000 0.0000
Sm2 Sm 0.5000 0.5000 0.0000
Th1 Th 0.0000 0.5000 0.5000
Sc1 Sc 0.5000 0.0000 0.5000
As1 As 0.2584 0.0000 0.7446
As2 As 0.2636 0.5000 0.2629
```

ΔE_f ... -1.445 eV per atom

=====

Spin magnetization for every record listed, in sequence, given in μB per cell: 0.00 0.00 0.00 0.00 0.00 0.00 0.01 0.00 0.00 0.00 0.00 0.00 0.00.